No. 1
## Mn2NiRu (PBE)

Data for crystalline Mn2NiRu at its relaxed geometry.

Summary:
- ΔH_f (0 K) (eV/f.u.) = 0.5

abc: 2.6088 2.6088 24.8774
angles: 90.00 90.00 120.00
Closest atoms and distances in Å follow each position.
Space group R3m (No. 160, hexagonal axes)
Asymmetric unit:
Mn 0.0000 0.0000 0.0000  9 Mn 2.51-2.61, 3 Ni 2.52
Mn 0.0000 0.0000 0.2526  9 Mn 2.51-2.61, 3 Ru 2.55
Ni 0.0000 0.0000 0.7480  3 Mn 2.52, 6 Ni 2.61, 3 Ru 2.67
Ru 0.0000 0.0000 0.5031  3 Mn 2.55, 6 Ru 2.61, 3 Ni 2.67

***

No. 2
## Ce3PuTh2P6 (PBE)

Data for crystalline Ce3PuTh2P6 at its relaxed geometry.

Summary:
- ΔH_f (0 K) (eV/f.u.) = -17.7

abc: 7.0996 12.2985 7.1099
angles: 90.00 109.43 90.00
Closest atoms and distances in Å follow each position.
Space group C2/m (No. 12)
Asymmetric unit:
Ce 0.0000 0.0000 0.0000  6 P 2.89-2.92
Ce 0.0000 0.3325 0.0000  6 P 2.89-2.92
Pu 0.0000 0.5000 0.5000  6 P 2.88
Th 0.0000 0.1664 0.5000  6 P 2.91-2.92
P 0.2453 0.5000 0.2491  1 Pu 2.88, 3 Ce 2.89-2.92, 2 Th 2.91
P 0.2479 0.3354 0.7504  1 Pu 2.88, 3 Ce 2.89-2.92, 2 Th 2.91-2.92

***

No. 3
## Pb2WCl (PBE)

Data for crystalline Pb2WCl at its relaxed geometry.

Summary:
- formation energy (no corrections) (eV/f.u.) = 4.07
- offset from the most stable computed form (meV/atom) = 666

abc: 6.4077 6.4077 14.0372
angles: 90.00 90.00 90.00
Closest atoms and distances in Å follow each position.
Space group I-42d (No. 122)
Asymmetric unit:
Pb 0.1972 0.2500 0.1250  2 W 2.69
W 0.0000 0.0000 0.0000  4 Pb 2.69
Cl 0.0000 0.0000 0.5000  4 Pb 3.07

***

No. 4
## Pr6As3PbSe2 (PBE)

Data for crystalline Pr6As3PbSe2 at its relaxed geometry.

Summary:
- formation energy (no corrections) (eV/f.u.) = -17.79

abc: 18.9899 4.3199 8.7614
angles: 90.00 103.48 90.00
Closest atoms and distances in Å follow each position.
Space group C2/m (No. 12)
Asymmetric unit:
Pr 0.0003 0.0000 0.2359  3 As 2.99-3.07, 1 Se 3.13, 2 Pb 3.17
Pr 0.1646 0.5000 0.0900  3 As 3.02-3.04, 3 Se 3.08-3.11
Pr 0.1718 0.5000 0.5804  3 As 2.99-3.05, 2 Se 3.13, 1 Pb 3.17
As 0.0000 0.5000 0.0000  6 Pr 2.99-3.04
As 0.1665 0.0000 0.3319  6 Pr 2.99-3.07
Pb 0.0000 0.5000 0.5000  6 Pr 3.17
Se 0.1690 0.0000 0.8374  6 Pr 3.08-3.13

***

No. 5
## LaPrBiSb (PBE)

Data for crystalline LaPrBiSb at its relaxed geometry.

Summary:
- formation energy (no corrections) (eV/f.u.) = -4.47

abc: 4.6358 4.6358 6.5455
angles: 90.00 90.00 90.00
Closest atoms and distances in Å follow each position.
Space group P4/mmm (No. 123)
Asymmetric unit:
La 0.0000 0.0000 0.0000  2 Sb 3.27, 4 Bi 3.28
Pr 0.5000 0.5000 0.5000  2 Bi 3.27, 4 Sb 3.28
Bi 0.5000 0.5000 0.0000  2 Pr 3.27, 4 La 3.28
Sb 0.0000 0.0000 0.5000  2 La 3.27, 4 Pr 3.28

***

No. 6
## UTi2Sb (PBE)

Data for crystalline UTi2Sb at its relaxed geometry.

Summary:
- formation energy (no corrections) (eV/f.u.) = -0.71
- offset from the most stable computed form (meV/atom) = 0

abc: 4.5638 4.5638 3.6975
angles: 90.00 90.00 90.00
Closest atoms and distances in Å follow each position.
Space group P4/mmm (No. 123)
Asymmetric unit:
U 0.0000 0.0000 0.0000  8 Ti 2.94, 4 Sb 3.23
Ti 0.0000 0.5000 0.5000  4 Sb 2.94, 4 U 2.94, 4 Ti 3.23
Sb 0.5000 0.5000 0.0000  8 Ti 2.94, 4 U 3.23

***

No. 7
## AcNiH4 (PBE)

Data for crystalline AcNiH4 at its relaxed geometry.

Summary:
- E_tot (eV/cell) = -52.2

abc: 4.2916 4.8970 6.4712
angles: 90.00 108.17 90.00
Closest atoms and distances in Å follow each position.
Space group P2_1/m (No. 11)
Asymmetric unit:
Ac 0.1366 0.2500 0.2637  9 H 2.55-2.61
Ni 0.3621 0.2500 0.8157  5 H 1.63-1.68
H 0.0124 0.7500 0.1599  1 Ni 1.66
H 0.3193 0.0100 0.6337  1 Ni 1.63
H 0.5000 0.0000 0.0000  2 Ni 1.68

***

No. 8
## InGeBrCl2 (PBE)

Data for crystalline InGeBrCl2 at its relaxed geometry.

Summary:
- formation energy (no corrections) (eV/f.u.) = -3.51

abc: 5.2262 5.2262 5.5640
angles: 90.00 90.00 90.00
Closest atoms and distances in Å follow each position.
Space group P4/mmm (No. 123)
Asymmetric unit:
In 0.0000 0.0000 0.0000  4 Br 3.70, 8 Cl 3.82
Ge 0.5000 0.5000 0.5000  4 Cl 2.61, 2 Br 2.78
Br 0.5000 0.5000 0.0000  2 Ge 2.78
Cl 0.0000 0.5000 0.5000  2 Ge 2.61

***

No. 9
## TcMo (PBE)

Data for crystalline TcMo at its relaxed geometry.

Summary:
- ΔH_f (0 K) (eV/f.u.) = 0.9
- offset from the most stable computed form (meV/atom) = 382

abc: 7.2960 7.2960 4.2995
angles: 90.00 90.00 120.00
Closest atoms and distances in Å follow each position.
Space group P6_3/mmc (No. 194)
Asymmetric unit:
Tc 0.1042 0.5521 0.2500  4 Tc 2.51-2.52, 2 Mo 2.68
Mo 0.1290 0.2579 0.7500  2 Tc 2.68, 6 Mo 2.70-2.82

***

No. 10
## In2CoMo (PBE)

Data for crystalline In2CoMo at its relaxed geometry.

Summary:
- ΔH_f (0 K) (eV/f.u.) = 1.7
- offset from the most stable computed form (meV/atom) = 196

abc: 3.0125 3.0125 26.6041
angles: 90.00 90.00 120.00
Closest atoms and distances in Å follow each position.
Space group R-3m (No. 166, hexagonal axes)
Asymmetric unit:
In 0.0000 0.0000 0.2440  3 Co 2.69, 3 Mo 2.95, 6 In 3.01
Co 0.0000 0.0000 0.5000  6 In 2.69, 6 Co 3.01
Mo 0.0000 0.0000 0.0000  6 In 2.95, 6 Mo 3.01

***

No. 11
## AlRe2Cl (PBE)

Data for crystalline AlRe2Cl at its relaxed geometry.

Summary:
- formation energy (no corrections) (eV/f.u.) = 2.38
- offset from the most stable computed form (meV/atom) = 663

abc: 2.7625 5.0509 8.9182
angles: 90.00 90.00 90.00
Closest atoms and distances in Å follow each position.
Space group Cmmm (No. 65)
Asymmetric unit:
Al 0.0000 0.0000 0.0000  4 Re 2.60, 6 Al 2.76-2.88
Re 0.0000 0.5000 0.2470  2 Al 2.60, 2 Cl 2.65, 6 Re 2.76-2.88
Cl 0.0000 0.0000 0.5000  4 Re 2.65, 6 Cl 2.76-2.88

***

No. 12
## CdInAs4 (PBE)

Data for crystalline CdInAs4 at its relaxed geometry.

Summary:
- ΔH_f (0 K) (eV/f.u.) = 1.6

abc: 8.1373 8.1373 8.1373
angles: 90.00 90.00 90.00
Closest atoms and distances in Å follow each position.
Space group F-43m (No. 216)
Asymmetric unit:
Cd 0.0000 0.0000 0.0000  12 As 3.38, 4 In 3.52
In 0.2500 0.2500 0.7500  12 As 3.37, 4 Cd 3.52
As 0.1233 0.1233 0.3767  6 As 2.84-2.92

***

Total magnetic moment / μB per formula unit: 1.845, 7.057, 0.916, 0.000, 0.000, 2.523, 0.000, 0.000, 0.000, 0.990, 0.000, 0.000